## P
Crystalline Cs2AlSb2 at its relaxed geometry. Source: the Alexandria database, functional PBE.

a b c (Å): 7.273 9.056 13.771
angles (deg): 136.03 90.00 113.68
Atoms (fractional coordinates):
Cs1 0.725 0.450 0.586
Cs2 0.275 0.550 0.414
Cs3 0.127 0.254 0.873
Cs4 0.873 0.746 0.127
Al1 0.352 0.704 0.851
Al2 0.648 0.296 0.149
Sb1 0.119 0.237 0.554
Sb2 0.881 0.763 0.446
Sb3 0.482 0.964 0.140
Sb4 0.518 0.036 0.860

Properties
The calculation puts the calculated density at 3.47 g cm⁻³.

***

## Q
Crystalline Cs2AlSb2 at its relaxed geometry. Source: the Alexandria database, functional PBE.

a b c (Å): 7.116 9.539 9.539
angles (deg): 50.62 68.10 68.10
Atoms (fractional coordinates):
Cs1 0.354 0.320 0.971
Cs2 0.646 0.680 0.029
Cs3 0.146 0.029 0.680
Cs4 0.854 0.971 0.320
Al1 0.250 0.500 0.500
Al2 0.750 0.500 0.500
Sb1 0.096 0.578 0.230
Sb2 0.904 0.422 0.770
Sb3 0.404 0.770 0.422
Sb4 0.596 0.230 0.578

Properties
The calculation puts the calculated density at 3.91 g cm⁻³. For the density of states at the Fermi level, the calculation gives 5.86 states/eV/f.u.

***

Tell me which of them is the most stable. Sure, it is Q.

***

## P
Crystalline CsAlSb3 at its relaxed geometry. Source: the Alexandria database, functional PBE.

a b c (Å): 6.215 6.215 6.215
angles (deg): 90.00 90.00 90.00
Atoms (fractional coordinates):
Cs1 0.000 0.000 0.000
Sb1 0.000 0.500 0.000
Sb2 0.000 0.000 0.500
Sb3 0.500 0.000 0.000
Al1 0.500 0.500 0.500

Properties
The calculation puts the calculated density at 3.63 g cm⁻³. For the density of states at the Fermi level, the calculation gives 7.96 states/eV/f.u.

***

## Q
Crystalline CsAlSb3 at its relaxed geometry. Source: the Alexandria database, functional PBE.

a b c (Å): 5.527 5.527 5.527
angles (deg): 90.00 90.00 90.00
Atoms (fractional coordinates):
Cs1 0.500 0.500 0.500
Al1 0.000 0.000 0.000
Sb1 0.000 0.500 0.000
Sb2 0.000 0.000 0.500
Sb3 0.500 0.000 0.000

Properties
The calculation puts the calculated density at 5.17 g cm⁻³. For the density of states at the Fermi level, the calculation gives 4.05 states/eV/f.u.

***

Tell me which of them is the most stable. Sure, it is Q.

***

## P
Crystalline CsScAl3 at its relaxed geometry. Source: the Alexandria database, functional PBE.

a b c (Å): 5.578 5.578 5.578
angles (deg): 90.00 90.00 90.00
Atoms (fractional coordinates):
Cs1 0.500 0.500 0.500
Sc1 0.000 0.000 0.000
Al1 0.000 0.500 0.000
Al2 0.000 0.000 0.500
Al3 0.500 0.000 0.000

Properties
The calculation puts the calculated density at 2.48 g cm⁻³. For the density of states at the Fermi level, the calculation gives 4.81 states/eV/f.u.

***

## Q
Crystalline CsScAl3 at its relaxed geometry. Source: the Alexandria database, functional PBE.

a b c (Å): 5.547 5.547 5.547
angles (deg): 90.00 90.00 90.00
Atoms (fractional coordinates):
Cs1 0.000 0.000 0.000
Sc1 0.500 0.500 0.500
Al1 0.000 0.500 0.000
Al2 0.000 0.000 0.500
Al3 0.500 0.000 0.000

Properties
The calculation puts the calculated density at 2.52 g cm⁻³. For the density of states at the Fermi level, the calculation gives 6.51 states/eV/f.u.

***

Tell me which of them is the most stable. Sure, it is P.

***

## P
Crystalline CsAlSi3 at its relaxed geometry. Source: the Alexandria database, functional PBE.

a b c (Å): 5.616 5.616 5.616
angles (deg): 90.00 90.00 90.00
Atoms (fractional coordinates):
Cs1 0.000 0.000 0.000
Si1 0.000 0.500 0.000
Si2 0.000 0.000 0.500
Si3 0.500 0.000 0.000
Al1 0.500 0.500 0.500

Properties
The calculation puts the calculated density at 2.29 g cm⁻³. For the density of states at the Fermi level, the calculation gives 3.25 states/eV/f.u.

***

## Q
Crystalline CsAlSi3 at its relaxed geometry. Source: the Alexandria database, functional PBE.

a b c (Å): 5.028 5.028 5.028
angles (deg): 90.00 90.00 90.00
Atoms (fractional coordinates):
Cs1 0.500 0.500 0.500
Si1 0.000 0.500 0.000
Si2 0.000 0.000 0.500
Si3 0.500 0.000 0.000
Al1 0.000 0.000 0.000

Properties
The calculation puts the calculated density at 3.19 g cm⁻³. For the density of states at the Fermi level, the calculation gives 3.34 states/eV/f.u.

***

Tell me which of them is the most stable. Sure, it is Q.

***

## P
Crystalline Cs3AlSn at its relaxed geometry. Source: the Alexandria database, functional PBE.

a b c (Å): 9.489 9.489 8.830
angles (deg): 110.27 118.68 103.36
Atoms (fractional coordinates):
Cs1 0.818 0.041 0.244
Cs2 0.203 0.426 0.244
Cs3 0.797 0.574 0.756
Cs4 0.708 0.453 0.162
Cs5 0.182 0.959 0.756
Cs6 0.292 0.547 0.838
Al1 0.629 0.819 0.447
Al2 0.371 0.181 0.553
Sn1 0.647 0.080 0.726
Sn2 0.353 0.920 0.274

Properties
The calculation puts the calculated density at 3.16 g cm⁻³. For the density of states at the Fermi level, the calculation gives 4.36 states/eV/f.u.

***

## Q
Crystalline Cs3AlSn at its relaxed geometry. Source: the Alexandria database, functional PBE.

a b c (Å): 7.469 7.469 7.469
angles (deg): 90.00 90.00 90.00
Atoms (fractional coordinates):
Cs1 0.000 0.500 0.000
Cs2 0.000 0.000 0.500
Cs3 0.500 0.000 0.000
Sn1 0.000 0.000 0.000
Al1 0.500 0.500 0.500

Properties
The calculation puts the calculated density at 2.17 g cm⁻³. For the density of states at the Fermi level, the calculation gives 8.60 states/eV/f.u.

***

Tell me which of them is the most stable. Sure, it is P.

***

## P
Crystalline CsSrAl3 at its relaxed geometry. Source: the Alexandria database, functional PBE.

a b c (Å): 6.194 6.194 6.194
angles (deg): 90.00 90.00 90.00
Atoms (fractional coordinates):
Cs1 0.500 0.500 0.500
Sr1 0.000 0.000 0.000
Al1 0.000 0.500 0.000
Al2 0.000 0.000 0.500
Al3 0.500 0.000 0.000

Properties
The calculation puts the calculated density at 2.11 g cm⁻³. For the density of states at the Fermi level, the calculation gives 7.28 states/eV/f.u.

***

## Q
Crystalline CsSrAl3 at its relaxed geometry. Source: the Alexandria database, functional PBE.

a b c (Å): 5.840 5.840 5.840
angles (deg): 90.00 90.00 90.00
Atoms (fractional coordinates):
Cs1 0.000 0.000 0.000
Sr1 0.500 0.500 0.500
Al1 0.000 0.500 0.000
Al2 0.000 0.000 0.500
Al3 0.500 0.000 0.000

Properties
The calculation puts the calculated density at 2.51 g cm⁻³. For the density of states at the Fermi level, the calculation gives 4.62 states/eV/f.u.

***

Tell me which of them is the most stable. Sure, it is P.

***

## P
Crystalline CsSr3Al at its relaxed geometry. Source: the Alexandria database, functional PBE.

a b c (Å): 6.140 6.140 6.140
angles (deg): 90.00 90.00 90.00
Atoms (fractional coordinates):
Cs1 0.000 0.000 0.000
Sr1 0.000 0.500 0.000
Sr2 0.000 0.000 0.500
Sr3 0.500 0.000 0.000
Al1 0.500 0.500 0.500

Properties
The calculation puts the calculated density at 3.03 g cm⁻³. For the density of states at the Fermi level, the calculation gives 3.74 states/eV/f.u.

***

## Q
Crystalline CsSr3Al at its relaxed geometry. Source: the Alexandria database, functional PBE.

a b c (Å): 6.566 6.566 6.566
angles (deg): 90.00 90.00 90.00
Atoms (fractional coordinates):
Cs1 0.500 0.500 0.500
Sr1 0.000 0.500 0.000
Sr2 0.000 0.000 0.500
Sr3 0.500 0.000 0.000
Al1 0.000 0.000 0.000

Properties
The calculation puts the calculated density at 2.48 g cm⁻³. For the density of states at the Fermi level, the calculation gives 3.40 states/eV/f.u.

***

Tell me which of them is the most stable. Sure, it is Q.

***

## P
Crystalline CsAl3Tc at its relaxed geometry. Source: the Alexandria database, functional PBE.

a b c (Å): 5.682 5.682 5.682
angles (deg): 90.00 90.00 90.00
Atoms (fractional coordinates):
Cs1 0.000 0.000 0.000
Tc1 0.500 0.500 0.500
Al1 0.000 0.500 0.000
Al2 0.000 0.000 0.500
Al3 0.500 0.000 0.000

Properties
The calculation puts the calculated density at 2.82 g cm⁻³. For the density of states at the Fermi level, the calculation gives 7.16 states/eV/f.u.

***

## Q
Crystalline CsAl3Tc at its relaxed geometry. Source: the Alexandria database, functional PBE.

a b c (Å): 5.002 5.002 5.002
angles (deg): 90.00 90.00 90.00
Atoms (fractional coordinates):
Cs1 0.500 0.500 0.500
Tc1 0.000 0.000 0.000
Al1 0.000 0.500 0.000
Al2 0.000 0.000 0.500
Al3 0.500 0.000 0.000

Properties
The calculation puts the calculated density at 4.14 g cm⁻³. For the density of states at the Fermi level, the calculation gives 3.17 states/eV/f.u.

***

Tell me which of them is the most stable. Sure, it is Q.